Entry w
Density functional theory data (PBE) for a relaxed structure of Cs3KPb.

Lattice parameters (Å, degrees): 7.7380 7.7380 7.7380 90.00 90.00 90.00
Last column: magnetic moment on the atom in μB.
Sites, in units of the cell vectors:
Pb 0.5000 0.5000 0.5000  0.52
Cs 0.0000 0.5000 0.0000  0.01
Cs 0.0000 0.0000 0.5000  0.01
Cs 0.5000 0.0000 0.0000  0.00
K 0.0000 0.0000 0.0000  0.01

## Properties
- space-group type = Pm-3m



Entry x
Density functional theory data (PBE) for a relaxed structure of Cs3KPb.

Lattice parameters (Å, degrees): 7.7045 7.7045 7.7045 90.00 90.00 90.00
Last column: magnetic moment on the atom in μB.
Sites, in units of the cell vectors:
Cs 0.0000 0.5000 0.0000  0.03
Cs 0.0000 0.0000 0.5000  0.03
Cs 0.5000 0.0000 0.0000  0.03
K 0.5000 0.5000 0.5000  0.01
Pb 0.0000 0.0000 0.0000  0.44

## Properties
- space-group type = Pm-3m



Most stable pick: entry x. Distance to second place: 374 meV per atom.



Entry w
Density functional theory data (PBE) for a relaxed structure of CsKPb2.

Lattice parameters (Å, degrees): 8.4891 9.1052 10.5958 90.00 90.00 90.00
Sites, in units of the cell vectors:
Cs 0.7500 0.0032 0.3195
Cs 0.7500 0.5032 0.1805
Cs 0.2500 0.9968 0.6805
Cs 0.2500 0.4968 0.8195
K 0.7500 0.8034 0.8264
K 0.7500 0.3034 0.6736
K 0.2500 0.1966 0.1736
K 0.2500 0.6966 0.3264
Pb 0.9250 0.6494 0.5403
Pb 0.5750 0.1494 0.9597
Pb 0.4250 0.3506 0.4597
Pb 0.0750 0.8506 0.0403
Pb 0.0750 0.3506 0.4597
Pb 0.4250 0.8506 0.0403
Pb 0.5750 0.6494 0.5403
Pb 0.9250 0.1494 0.9597

## Properties
- space-group type = Pnma



Entry x
Density functional theory data (PBE) for a relaxed structure of CsKPb2.

Lattice parameters (Å, degrees): 6.2029 6.2029 6.2029 60.00 60.00 60.00
Sites, in units of the cell vectors:
Pb 0.2500 0.2500 0.2500
Pb 0.7500 0.7500 0.7500
Cs 0.5000 0.5000 0.5000
K 0.0000 0.0000 0.0000

## Properties
- space-group type = Fm-3m



Most stable pick: entry w. Distance to second place: 239 meV per atom.